(1)
## BeW (PBE-GGA)

Data for a relaxed BeW crystal.

Properties
Formation energy: 441.4 meV per atom
Excess energy over the best structure of this formula in the dataset: 0.6691 eV per atom

extended XYZ file:
```
6
Lattice="2.728 0.000 0.000 -1.364 2.362 0.000 0.000 0.000 12.506" Properties=species:S:1:pos:R:3 pbc="T T T"
Be 0.000 0.000 0.000
Be 0.000 1.575 8.337
Be 1.364 0.787 4.169
W 0.000 0.000 6.253
W 0.000 1.575 2.084
W 1.364 0.787 10.422
```


(2)
## NdAg2Pd (PBE-GGA)

Data for a relaxed NdAg2Pd crystal.

Properties
Formation energy: -261.9 meV per atom
Excess energy over the best structure of this formula in the dataset: 0.1444 eV per atom

extended XYZ file:
```
12
Lattice="4.724 0.000 0.000 -2.362 4.091 0.000 0.000 0.000 13.526" Properties=species:S:1:pos:R:3 pbc="T T T"
Nd 0.000 0.000 0.000
Nd 0.000 2.728 9.017
Nd 2.362 1.364 4.509
Ag 0.000 0.000 3.030
Ag 0.000 0.000 10.496
Ag 0.000 2.728 5.987
Ag 0.000 2.728 12.048
Ag 2.362 1.364 1.478
Ag 2.362 1.364 7.539
Pd 0.000 0.000 6.763
Pd 0.000 2.728 2.254
Pd 2.362 1.364 11.272
```


(3)
## SrCe4Se6 (PBE-GGA)

Data for a relaxed SrCe4Se6 crystal.

Properties
Energy relative to the elements, uncorrected: -1.84 eV/atom

extended XYZ file:
```
22
Lattice="2.109 -6.954 0.000 2.109 6.954 0.000 0.000 0.000 21.502" Properties=species:S:1:pos:R:3 pbc="T T T"
Sr 2.109 4.713 16.127
Sr 2.109 -4.713 5.376
Ce 2.109 5.670 2.751
Ce 2.109 5.670 8.000
Ce 2.109 1.919 0.868
Ce 2.109 1.919 9.883
Ce 2.109 -1.919 11.619
Ce 2.109 -1.919 20.634
Ce 2.109 -5.670 13.502
Ce 2.109 -5.670 18.751
Se 0.000 0.000 0.000
Se 0.000 0.000 10.751
Se 2.109 4.472 5.376
Se 2.109 3.199 12.637
Se 2.109 3.199 19.617
Se 2.109 0.633 3.518
Se 2.109 0.633 7.233
Se 2.109 -0.633 14.270
Se 2.109 -0.633 17.984
Se 2.109 -3.199 1.886
Se 2.109 -3.199 8.866
Se 2.109 -4.472 16.127
```


(4)
## PaBeSi2Mo (PBE-GGA)

Data for a relaxed PaBeSi2Mo crystal.

Properties
Energy relative to the elements, uncorrected: -0.34 eV/atom

extended XYZ file:
```
10
Lattice="3.820 0.000 0.000 0.000 3.820 0.000 0.000 0.000 11.102" Properties=species:S:1:pos:R:3 pbc="T T T"
Pa 0.000 0.000 0.000
Pa 1.910 1.910 5.551
Be 0.000 1.910 8.326
Be 1.910 0.000 2.775
Si 0.000 0.000 4.363
Si 0.000 0.000 6.738
Si 1.910 1.910 1.188
Si 1.910 1.910 9.914
Mo 0.000 1.910 2.775
Mo 1.910 0.000 8.326
```